Rb3ScV | PBE | optimized geometry

Results
**SG**: No. 221
**Fermi-level density of states**: 10.39 states/eV/f.u.
**Energy relative to the lowest polymorph listed for this composition**: 0.0000 eV/atom
**ΔH_f (0 K)**: 1.36 eV per atom

Cell lengths 6.8339, 6.8339, 6.8339 Å; angles 90.00, 90.00, 90.00 degrees
Last column: nearest neighbours and their distance in Å.
Fractional positions:
Rb 0.0000 0.0000 0.5000  2 V 3.42
Rb 0.0000 0.5000 0.0000  2 V 3.42
Rb 0.5000 0.0000 0.0000  2 V 3.42
Sc 0.5000 0.5000 0.5000  12 Rb 4.83
V 0.0000 0.0000 0.0000  6 Rb 3.42